[1]
# Ta2ZnRuCl GGA-PBE relaxed
data_Ta2ZnRuCl
_symmetry_space_group_name_H-M 'P 4/m m m'
_symmetry_Int_Tables_number 123
_symmetry_space_group_name_Hall '-P 4 2'
_cell_length_a 4.807
_cell_length_b 4.807
_cell_length_c 4.502
_cell_angle_alpha 90.00
_cell_angle_beta 90.00
_cell_angle_gamma 90.00
loop_
_atom_site_label
_atom_site_type_symbol
_atom_site_fract_x
_atom_site_fract_y
_atom_site_fract_z
Ta1 Ta 0.000 0.500 0.000
Zn1 Zn 0.000 0.000 0.000
Ru1 Ru 0.000 0.000 0.500
Cl1 Cl 0.500 0.500 0.500
# total DFT energy (no corrections) = -5.52 eV per atom
# uncorrected formation energy = 1.698 eV/atom
# DOS(E_F) = 7.17 states/eV per cell



[2]
# Tb5Ru4Cl GGA-PBE relaxed
data_Tb5Ru4Cl
_symmetry_space_group_name_H-M 'P 4/m m m'
_symmetry_Int_Tables_number 123
_symmetry_space_group_name_Hall '-P 4 2'
_cell_length_a 3.390
_cell_length_b 3.390
_cell_length_c 18.309
_cell_angle_alpha 90.00
_cell_angle_beta 90.00
_cell_angle_gamma 90.00
loop_
_atom_site_label
_atom_site_type_symbol
_atom_site_fract_x
_atom_site_fract_y
_atom_site_fract_z
Tb1 Tb 0.000 0.000 0.000
Tb2 Tb 0.000 0.000 0.187
Tb3 Tb 0.000 0.000 0.374
Ru1 Ru 0.500 0.500 0.094
Ru2 Ru 0.500 0.500 0.287
Cl1 Cl 0.500 0.500 0.500
# total DFT energy (no corrections) = -6.76 eV per atom
# uncorrected formation energy = -0.552 eV/atom
# DOS(E_F) = 5.76 states/eV per cell



Question: What is the DOS(E_F) in the first record?
Answer: 7.17 states/eV per cell



Question: Among the records above, which one has the lowest total DFT energy (no corrections)?
Answer: Tb5Ru4Cl